1.
# K2AlCo (GGA-PBE, relaxed)
data_K2AlCo
_chemical_formula_sum 'K8 Al4 Co4'
_symmetry_space_group_name_H-M 'F 2 2 2'
_symmetry_Int_Tables_number 22
_symmetry_space_group_name_Hall 'F 2 2'
_cell_length_a 7.498
_cell_length_b 7.516
_cell_length_c 7.566
_cell_angle_alpha 90.00
_cell_angle_beta 90.00
_cell_angle_gamma 90.00
loop_
_atom_site_label
_atom_site_fract_x
_atom_site_fract_y
_atom_site_fract_z
K1 0.000 0.000 0.000
K2 0.250 0.250 0.250
Al1 0.250 0.250 0.750
Co1 0.000 0.000 0.500
# - density of states at the Fermi level (states/eV/cell) = 22.379
# - DFT formation energy (eV/atom) = 0.855

=====

2.
# K2AlCo (GGA-PBE, relaxed)
data_K2AlCo
_chemical_formula_sum 'K4 Al2 Co2'
_symmetry_space_group_name_H-M 'C m m m'
_symmetry_Int_Tables_number 65
_symmetry_space_group_name_Hall '-C 2 2'
_cell_length_a 4.223
_cell_length_b 4.491
_cell_length_c 11.137
_cell_angle_alpha 90.00
_cell_angle_beta 90.00
_cell_angle_gamma 90.00
loop_
_atom_site_label
_atom_site_fract_x
_atom_site_fract_y
_atom_site_fract_z
K1 0.000 0.000 0.232
Al1 0.000 0.500 0.500
Co1 0.000 0.500 0.000
# - density of states at the Fermi level (states/eV/cell) = 6.274
# - DFT formation energy (eV/atom) = 0.908

=====

3.
# K2AlCo (GGA-PBE, relaxed)
data_K2AlCo
_chemical_formula_sum 'K4 Al2 Co2'
_symmetry_space_group_name_H-M 'I m m 2'
_symmetry_Int_Tables_number 44
_symmetry_space_group_name_Hall 'I 2 -2'
_cell_length_a 4.357
_cell_length_b 5.967
_cell_length_c 10.339
_cell_angle_alpha 90.00
_cell_angle_beta 90.00
_cell_angle_gamma 90.00
loop_
_atom_site_label
_atom_site_fract_x
_atom_site_fract_y
_atom_site_fract_z
K1 0.000 0.000 0.000
K2 0.000 0.500 0.184
Al1 0.000 0.500 0.801
Co1 0.000 0.000 0.371
# - density of states at the Fermi level (states/eV/cell) = 7.891
# - DFT formation energy (eV/atom) = 0.532

=====

4.
# K2AlCo (GGA-PBE, relaxed)
data_K2AlCo
_chemical_formula_sum 'K6 Al3 Co3'
_symmetry_space_group_name_H-M 'R -3 m'
_symmetry_Int_Tables_number 166
_symmetry_space_group_name_Hall '-R 3 2"'
_cell_length_a 3.2211
_cell_length_b 3.2211
_cell_length_c 34.5779
_cell_angle_alpha 90.00
_cell_angle_beta 90.00
_cell_angle_gamma 120.00
loop_
_atom_site_label
_atom_site_fract_x
_atom_site_fract_y
_atom_site_fract_z
K1 0.0000 0.0000 0.2459
Al1 0.0000 0.0000 0.0000
Co1 0.0000 0.0000 0.5000
# - density of states at the Fermi level (states/eV/cell) = 17.254
# - DFT formation energy (eV/atom) = 0.990

=====

> DFT formation energy of number 4 (K2AlCo)?

0.990 eV/atom

=====

What did the first record say?
# K2AlCo (GGA-PBE, relaxed)
data_K2AlCo
_chemical_formula_sum 'K8 Al4 Co4'
_symmetry_space_group_name_H-M 'F 2 2 2'
_symmetry_Int_Tables_number 22
_symmetry_space_group_name_Hall 'F 2 2'
_cell_length_a 7.498
_cell_length_b 7.516
_cell_length_c 7.566
_cell_angle_alpha 90.00
_cell_angle_beta 90.00
_cell_angle_gamma 90.00
loop_
_atom_site_label
_atom_site_fract_x
_atom_site_fract_y
_atom_site_fract_z
K1 0.000 0.000 0.000
K2 0.250 0.250 0.250
Al1 0.250 0.250 0.750
Co1 0.000 0.000 0.500
# - density of states at the Fermi level (states/eV/cell) = 22.379
# - DFT formation energy (eV/atom) = 0.855

=====

> Look up the density of states at the Fermi level of the third one.

7.891 states/eV/cell

=====

> What is the formula in the third record?

K2AlCo